No. 1
YZr2Mn meta-GGA SCAN PBEsol geometry; electronic total energy = -1.9699 Ry/atom; offset from the most stable computed form = 0 meV/atom; energy of formation = 0.071 eV per atom; calculated volume = 83.3 Å³/cell; space-group type = Cmmm (65)
1.0
-0.872 1.755 2.491
-2.700 0.292 -1.633
-3.011 -6.830 3.757
Y Mn Zr
1 1 2
Direct
0.500 0.500 0.000 Y
0.500 0.500 0.500 Mn
0.000 0.000 0.319 Zr
0.000 0.000 0.681 Zr

---

No. 2
YZrMn2 meta-GGA SCAN PBEsol geometry; electronic total energy = -1.7381 Ry/atom; energy of formation = 0.114 eV per atom; calculated volume = 68.5 Å³/cell; space-group type = P4mm (99)
1.0
2.899 0.000 0.000
0.000 2.899 0.000
0.000 0.000 8.149
Mn Y Zr
2 1 1
Direct
0.000 0.000 0.052 Mn
0.500 0.500 0.187 Mn
0.000 0.000 0.444 Y
0.500 0.500 0.817 Zr

---

No. 3
MnZn3 meta-GGA SCAN PBEsol geometry; electronic total energy = -1.0860 Ry/atom; energy of formation = -0.076 eV per atom; calculated volume = 213.9 Å³/cell; space-group type = Pnma (62)
1.0
4.655 0.000 0.000
0.000 5.320 0.000
0.000 0.000 8.639
Mn Zn
4 12
Direct
0.929 0.377 0.250 Mn
0.571 0.877 0.750 Mn
0.429 0.123 0.250 Mn
0.071 0.623 0.750 Mn
0.067 0.117 0.750 Zn
0.752 0.628 0.996 Zn
0.752 0.628 0.504 Zn
0.748 0.128 0.496 Zn
0.748 0.128 0.004 Zn
0.433 0.617 0.250 Zn
0.567 0.383 0.750 Zn
0.252 0.872 0.996 Zn
0.252 0.872 0.504 Zn
0.248 0.372 0.496 Zn
0.248 0.372 0.004 Zn
0.933 0.883 0.250 Zn

---

No. 4
Mn3Zn4 meta-GGA SCAN PBEsol geometry; electronic total energy = -1.1431 Ry/atom; energy of formation = -0.006 eV per atom; calculated volume = 86.5 Å³/cell; space-group type = I4/mmm (139)
1.0
-0.527 2.631 0.385
-1.759 -0.639 1.961
9.808 -0.424 6.784
Mn Zn
3 4
Direct
0.000 0.000 0.000 Mn
0.276 0.276 0.552 Mn
0.724 0.724 0.448 Mn
0.151 0.151 0.303 Zn
0.427 0.427 0.854 Zn
0.573 0.573 0.146 Zn
0.849 0.849 0.697 Zn

---

No. 5
MnZn3 meta-GGA SCAN PBEsol geometry; electronic total energy = -1.0867 Ry/atom; energy of formation = -0.086 eV per atom; calculated volume = 53.6 Å³/cell; space-group type = Pmm2 (25)
1.0
-1.220 -0.998 2.244
3.418 -2.375 0.802
1.796 3.428 2.500
Zn Mn
3 1
Direct
0.000 0.500 0.332 Zn
0.500 0.000 0.497 Zn
0.500 0.500 0.843 Zn
0.000 0.000 0.995 Mn

---

No. 6
Mn3Zn meta-GGA SCAN PBEsol geometry; electronic total energy = -1.2563 Ry/atom; energy of formation = -0.023 eV per atom; calculated volume = 45.6 Å³/cell; space-group type = Pmm2 (25)
1.0
-2.080 -1.114 -1.004
0.278 -3.004 2.758
-2.525 2.264 2.719
Mn Zn
3 1
Direct
0.000 0.000 0.993 Mn
0.500 0.000 0.499 Mn
0.500 0.500 0.837 Mn
0.000 0.500 0.338 Zn

---

No. 7
Mn3Zn meta-GGA SCAN PBEsol geometry; electronic total energy = -1.2612 Ry/atom; energy of formation = -0.089 eV per atom; calculated volume = 46.2 Å³/cell; space-group type = P4/mmm (123)
1.0
-2.611 -0.011 0.055
0.036 -2.287 1.259
0.110 3.269 5.934
Zn Mn
1 3
Direct
0.500 0.500 0.500 Zn
0.000 0.000 0.769 Mn
0.000 0.000 0.231 Mn
0.500 0.500 0.000 Mn

---

No. 8
MnZn5 meta-GGA SCAN PBEsol geometry; electronic total energy = -1.0584 Ry/atom; energy of formation = -0.095 eV per atom; calculated volume = 80.2 Å³/cell; space-group type = Cmmm (65)
1.0
-0.637 -2.295 2.952
-0.556 -2.918 -2.389
5.729 -0.067 -1.253
Mn Zn
1 5
Direct
0.500 0.000 0.000 Mn
0.338 0.500 0.676 Zn
0.168 0.000 0.336 Zn
0.000 0.500 0.000 Zn
0.832 0.000 0.664 Zn
0.662 0.500 0.324 Zn

---

No. 9
MnZn3 meta-GGA SCAN PBEsol geometry; electronic total energy = -1.0872 Ry/atom; energy of formation = -0.092 eV per atom; calculated volume = 53.2 Å³/cell; space-group type = P4/mmm (123)
1.0
2.706 0.000 0.000
0.000 2.706 0.000
0.000 0.000 7.264
Zn Mn
3 1
Direct
0.000 0.000 0.500 Zn
0.500 0.500 0.241 Zn
0.500 0.500 0.759 Zn
0.000 0.000 0.000 Mn

---

No. 10
MnZn3 meta-GGA SCAN PBEsol geometry; electronic total energy = -1.0909 Ry/atom; energy of formation = -0.143 eV per atom; calculated volume = 51.8 Å³/cell; space-group type = Pm-3m (221)
1.0
-2.447 -2.358 -1.533
-0.567 -1.576 3.330
-2.755 2.419 0.675
Zn Mn
3 1
Direct
0.000 0.500 0.500 Zn
0.500 0.500 0.000 Zn
0.500 0.000 0.500 Zn
0.000 0.000 0.000 Mn

---

No. 11
MnZn3 meta-GGA SCAN PBEsol geometry; electronic total energy = -1.0865 Ry/atom; energy of formation = -0.083 eV per atom; calculated volume = 53.3 Å³/cell; space-group type = P2/m (10)
1.0
2.630 0.000 0.044
0.000 3.919 0.000
-1.072 0.000 5.157
Zn Mn
3 1
Direct
0.444 0.500 0.758 Zn
0.000 0.000 0.500 Zn
0.556 0.500 0.242 Zn
0.000 0.000 0.000 Mn

---

No. 12
MnZn3 meta-GGA SCAN PBEsol geometry; electronic total energy = -1.0864 Ry/atom; energy of formation = -0.081 eV per atom; calculated volume = 53.2 Å³/cell; space-group type = Cmmm (65)
1.0
2.698 0.000 0.000
0.000 4.562 -0.064
0.000 -1.403 4.341
Zn Mn
3 1
Direct
0.500 0.000 0.500 Zn
0.500 0.500 0.000 Zn
0.000 0.500 0.500 Zn
0.000 0.000 0.000 Mn

---

Which formula does entry 3 have?
MnZn3

---

Copy entry 4 word for word.
Mn3Zn4 meta-GGA SCAN PBEsol geometry; electronic total energy = -1.1431 Ry/atom; energy of formation = -0.006 eV per atom; calculated volume = 86.5 Å³/cell; space-group type = I4/mmm (139)
1.0
-0.527 2.631 0.385
-1.759 -0.639 1.961
9.808 -0.424 6.784
Mn Zn
3 4
Direct
0.000 0.000 0.000 Mn
0.276 0.276 0.552 Mn
0.724 0.724 0.448 Mn
0.151 0.151 0.303 Zn
0.427 0.427 0.854 Zn
0.573 0.573 0.146 Zn
0.849 0.849 0.697 Zn